{"formula": "BaFeO3", "functional": "GGA+U", "state": "relaxed", "m_tot_mub_per_atom": 0.80, "volume_a3_per_atom": 17.20, "dft_energy_ev_per_atom": -6.293, "lattice": [[5.8243, 0.0000, 0.0000], [0.0000, 5.1199, 0.0000], [-5.7610, 0.0000, 11.5385]], "species": ["Ba", "Ba", "Ba", "Ba", "Fe", "Fe", "Fe", "Fe", "O", "O", "O", "O", "O", "O", "O", "O", "O", "O", "O", "O"], "frac_coords": [[0.1882, 0.2151, 0.1549], [0.1882, 0.2849, 0.6549], [0.8118, 0.7151, 0.3451], [0.8118, 0.7849, 0.8451], [0.4754, 0.7451, 0.0411], [0.4754, 0.7549, 0.5411], [0.5246, 0.2451, 0.4589], [0.5246, 0.2549, 0.9589], [0.2652, 0.0395, 0.9727], [0.2652, 0.4605, 0.4727], [0.2924, 0.5321, 0.8995], [0.2924, 0.9679, 0.3995], [0.3641, 0.7206, 0.1514], [0.3641, 0.7794, 0.6514], [0.6359, 0.2206, 0.3486], [0.6359, 0.2794, 0.8486], [0.7076, 0.0321, 0.6005], [0.7076, 0.4679, 0.1005], [0.7348, 0.5395, 0.5273], [0.7348, 0.9605, 0.0273]]}